(1)
Ca2YAl | PBE | relaxed

## Properties
* formation enthalpy at 0 K: -19 meV/atom
* uncorrected energy: -3.57 eV/atom
* total magnetization: 0.020 μB/atom
* mass density: 2.62 g/cm³

```
data_Ca2YAl
_chemical_formula_sum 'Ca2 Y1 Al1'
_symmetry_space_group_name_H-M 'P 4/m m m'
_symmetry_Int_Tables_number 123
_symmetry_space_group_name_Hall '-P 4 2'
_cell_length_a 3.531
_cell_length_b 3.531
_cell_length_c 9.952
_cell_angle_alpha 90.00
_cell_angle_beta 90.00
_cell_angle_gamma 90.00
loop_
_atom_site_label
_atom_site_type_symbol
_atom_site_fract_x
_atom_site_fract_y
_atom_site_fract_z
_atom_site_occupancy
Ca1 Ca 0.000 0.000 0.208 1
Y1 Y 0.500 0.500 0.500 1
Al1 Al 0.500 0.500 0.000 1
```

***

(2)
Er2CuPt | PBE | relaxed

## Properties
* formation enthalpy at 0 K: -849 meV/atom
* uncorrected energy: -5.66 eV/atom
* total magnetization: 0.000 μB/atom
* mass density: 11.50 g/cm³

```
data_Er2CuPt
_chemical_formula_sum 'Er4 Cu2 Pt2'
_symmetry_space_group_name_H-M 'P 1 21/m 1'
_symmetry_Int_Tables_number 11
_cell_length_a 5.495
_cell_length_b 4.476
_cell_length_c 7.398
_cell_angle_alpha 90.00
_cell_angle_beta 109.78
_cell_angle_gamma 90.00
loop_
_symmetry_equiv_pos_as_xyz
'x,y,z'
'-x,-y,-z'
'-x,y+1/2,-z'
'x,-y+1/2,z'
loop_
_atom_site_label
_atom_site_type_symbol
_atom_site_fract_x
_atom_site_fract_y
_atom_site_fract_z
_atom_site_occupancy
Er1 Er 0.220 0.250 0.433 1
Er2 Er 0.224 0.250 0.928 1
Cu1 Cu 0.339 0.750 0.208 1
Pt1 Pt 0.343 0.750 0.712 1
```

***

(3)
NdHoBeZn | PBE | relaxed

## Properties
* formation enthalpy at 0 K: -66 meV/atom
* uncorrected energy: -3.65 eV/atom
* total magnetization: 0.000 μB/atom
* mass density: 7.14 g/cm³

```
data_NdHoBeZn
_chemical_formula_sum 'Nd4 Ho4 Be4 Zn4'
_symmetry_space_group_name_H-M 'F -4 3 m'
_symmetry_Int_Tables_number 216
_symmetry_space_group_name_Hall 'F -4 2 3'
_cell_length_a 7.093
_cell_length_b 7.093
_cell_length_c 7.093
_cell_angle_alpha 90.00
_cell_angle_beta 90.00
_cell_angle_gamma 90.00
loop_
_atom_site_label
_atom_site_type_symbol
_atom_site_fract_x
_atom_site_fract_y
_atom_site_fract_z
_atom_site_occupancy
Nd1 Nd 0.000 0.000 0.000 1
Ho1 Ho 0.000 0.000 0.500 1
Be1 Be 0.250 0.250 0.750 1
Zn1 Zn 0.250 0.250 0.250 1
```

***

(4)
CaSm4Se6 | PBE | relaxed

## Properties
* uncorrected energy: -5.67 eV/atom
* total magnetization: 0.000 μB/atom
* mass density: 6.14 g/cm³

```
data_CaSm4Se6
_chemical_formula_sum 'Ca4 Sm16 Se24'
_symmetry_space_group_name_H-M 'C m c m'
_symmetry_Int_Tables_number 63
_symmetry_space_group_name_Hall '-C 2c 2'
_cell_length_a 4.130
_cell_length_b 13.734
_cell_length_c 21.284
_cell_angle_alpha 90.00
_cell_angle_beta 90.00
_cell_angle_gamma 90.00
loop_
_atom_site_label
_atom_site_type_symbol
_atom_site_fract_x
_atom_site_fract_y
_atom_site_fract_z
_atom_site_occupancy
Ca1 Ca 0.000 0.158 0.250 1
Sm1 Sm 0.000 0.091 0.631 1
Sm2 Sm 0.000 0.361 0.540 1
Se1 Se 0.000 0.000 0.000 1
Se2 Se 0.000 0.190 0.750 1
Se3 Se 0.000 0.271 0.088 1
Se4 Se 0.000 0.451 0.666 1
```